{"formula": "ThVSi2Mo", "functional": "PBE", "state": "relaxed", "dos_at_fermi_per_ev_fu": 3.71, "e_tot_ev_per_atom": -8.2028, "m_tot_mub_per_cell": 0.00, "lattice": [[-2.004, 2.004, 5.614], [2.004, -2.004, 5.614], [2.004, 2.004, -5.614]], "species": ["Th", "V", "Si", "Si", "Mo"], "frac_coords": [[0.000, 0.000, 0.000], [0.750, 0.250, 0.500], [0.388, 0.388, 0.000], [0.612, 0.612, 0.000], [0.250, 0.750, 0.500]]}

{"formula": "TiSi3Mo", "functional": "PBE", "state": "relaxed", "dos_at_fermi_per_ev_fu": 4.06, "e_tot_ev_per_atom": -5.8023, "m_tot_mub_per_cell": 0.00, "lattice": [[4.521, 0.000, 0.000], [0.000, 4.521, 0.000], [0.000, 0.000, 4.521]], "species": ["Ti", "Si", "Si", "Si", "Mo"], "frac_coords": [[0.000, 0.000, 0.000], [0.000, 0.000, 0.500], [0.000, 0.500, 0.000], [0.500, 0.000, 0.000], [0.500, 0.500, 0.500]]}

{"formula": "Ti3SiMo", "functional": "PBE", "state": "relaxed", "dos_at_fermi_per_ev_fu": 7.47, "e_tot_ev_per_atom": -7.1243, "m_tot_mub_per_cell": 1.57, "lattice": [[4.684, 0.000, 0.000], [0.000, 4.684, 0.000], [0.000, 0.000, 4.684]], "species": ["Ti", "Ti", "Ti", "Si", "Mo"], "frac_coords": [[0.000, 0.000, 0.500], [0.000, 0.500, 0.000], [0.500, 0.000, 0.000], [0.500, 0.500, 0.500], [0.000, 0.000, 0.000]]}

{"formula": "Ti3SiMo", "functional": "PBE", "state": "relaxed", "dos_at_fermi_per_ev_fu": 3.05, "e_tot_ev_per_atom": -7.3892, "m_tot_mub_per_cell": 0.00, "lattice": [[4.543, 0.000, 0.000], [0.000, 4.543, 0.000], [0.000, 0.000, 4.543]], "species": ["Ti", "Ti", "Ti", "Si", "Mo"], "frac_coords": [[0.000, 0.000, 0.500], [0.000, 0.500, 0.000], [0.500, 0.000, 0.000], [0.000, 0.000, 0.000], [0.500, 0.500, 0.500]]}

{"formula": "Ti4SiMo2", "functional": "PBE", "state": "relaxed", "dos_at_fermi_per_ev_fu": 8.61, "e_tot_ev_per_atom": -7.7602, "m_tot_mub_per_cell": 0.00, "lattice": [[-2.293, 2.293, 6.220], [2.293, -2.293, 6.220], [2.293, 2.293, -6.220]], "species": ["Ti", "Ti", "Ti", "Ti", "Si", "Mo", "Mo"], "frac_coords": [[0.000, 0.500, 0.500], [0.196, 0.196, 0.000], [0.500, 0.000, 0.500], [0.804, 0.804, 0.000], [0.000, 0.000, 0.000], [0.383, 0.383, 0.000], [0.617, 0.617, 0.000]]}

{"formula": "Ti2Si4Mo3", "functional": "PBE", "state": "relaxed", "dos_at_fermi_per_ev_fu": 5.74, "e_tot_ev_per_atom": -8.3506, "m_tot_mub_per_cell": 0.00, "lattice": [[6.581, 0.000, 0.000], [0.000, 6.674, 0.000], [-2.118, 0.000, 6.084]], "species": ["Ti", "Ti", "Ti", "Ti", "Si", "Si", "Si", "Si", "Si", "Si", "Si", "Si", "Mo", "Mo", "Mo", "Mo", "Mo", "Mo"], "frac_coords": [[0.190, 0.168, 0.062], [0.190, 0.332, 0.562], [0.810, 0.668, 0.438], [0.810, 0.832, 0.938], [0.081, 0.536, 0.854], [0.081, 0.964, 0.354], [0.490, 0.133, 0.868], [0.490, 0.367, 0.368], [0.510, 0.633, 0.632], [0.510, 0.867, 0.132], [0.919, 0.036, 0.646], [0.919, 0.464, 0.146], [0.244, 0.668, 0.248], [0.244, 0.832, 0.748], [0.500, 0.000, 0.500], [0.500, 0.500, 0.000], [0.756, 0.168, 0.252], [0.756, 0.332, 0.752]]}

Repeat the second record exactly.
{"formula": "TiSi3Mo", "functional": "PBE", "state": "relaxed", "dos_at_fermi_per_ev_fu": 4.06, "e_tot_ev_per_atom": -5.8023, "m_tot_mub_per_cell": 0.00, "lattice": [[4.521, 0.000, 0.000], [0.000, 4.521, 0.000], [0.000, 0.000, 4.521]], "species": ["Ti", "Si", "Si", "Si", "Mo"], "frac_coords": [[0.000, 0.000, 0.000], [0.000, 0.000, 0.500], [0.000, 0.500, 0.000], [0.500, 0.000, 0.000], [0.500, 0.500, 0.500]]}